--- w ---
This record from Alexandria via LeMat-Bulk describes crystalline ErScPtRh at its relaxed geometry. The functional is PBE-GGA.

Geometry as POSCAR:
```
ErScPtRh
1.0
4.739 0.000 0.000
2.369 4.104 0.000
2.369 1.368 3.869
Er Sc Pt Rh
1 1 1 1
Direct
0.000 0.000 0.000 Er
0.500 0.500 0.500 Sc
0.750 0.750 0.750 Pt
0.250 0.250 0.250 Rh
```

Total moment = 0.00 μB per formula unit
Symmetry = F-43m, No. 216

=====

--- x ---
This record from Alexandria via LeMat-Bulk describes crystalline ErScPtRh at its relaxed geometry. The functional is PBE-GGA.

Geometry as POSCAR:
```
ErScPtRh
1.0
3.334 0.000 0.000
0.000 3.334 0.000
0.000 0.000 6.750
Rh Pt Er Sc
1 1 1 1
Direct
0.000 0.000 0.373 Rh
0.000 0.000 0.841 Pt
0.500 0.500 0.112 Er
0.500 0.500 0.601 Sc
```

Total moment = 0.00 μB per formula unit
Symmetry = P4mm, No. 99

=====

Which structure is the most stable? The one labeled x.

=====

--- w ---
This record from Alexandria via LeMat-Bulk describes crystalline SmErPtRh at its relaxed geometry. The functional is PBE-GGA.

Geometry as POSCAR:
```
SmErPtRh
1.0
4.926 0.000 0.000
2.463 4.266 0.000
2.463 1.422 4.022
Pt Rh Sm Er
1 1 1 1
Direct
0.750 0.750 0.750 Pt
0.250 0.250 0.250 Rh
0.500 0.500 0.500 Sm
0.000 0.000 0.000 Er
```

Total moment = 0.00 μB per formula unit
Symmetry = F-43m, No. 216

=====

--- x ---
This record from Alexandria via LeMat-Bulk describes crystalline SmErPtRh at its relaxed geometry. The functional is PBE-GGA.

Geometry as POSCAR:
```
SmErPtRh
1.0
-0.972 1.954 3.126
-2.039 -3.529 1.572
4.984 -2.522 0.802
Er Pt Sm Rh
1 1 1 1
Direct
0.862 0.500 0.725 Er
0.584 0.500 0.167 Pt
0.144 0.000 0.289 Sm
0.410 0.000 0.819 Rh
```

Total moment = 0.00 μB per formula unit
Symmetry = Amm2, No. 38

=====

Which structure is the most stable? The one labeled x.